Here is crystalline KScCr2Ru at its relaxed geometry from Alexandria via LeMat-Bulk. Energies are from PBE-GGA.

The calculation puts the calculated density at 3.94 Mg/m³. For the total energy, the calculation gives -29.39 eV per cell. The density of states at the Fermi level is 4.2 states/eV/cell. The formation energy comes out at 1.313 eV/atom.

The structure belongs to space group P4/mmm (No. 123); the cell edges are 4.723, 4.723 and 5.459 Å and the angles 90.00°, 90.00° and 90.00°. The inequivalent atoms are K at (0.000, 0.000, 0.000), Sc at (0.500, 0.500, 0.000), Cr at (0.000, 0.500, 0.500) and Ru at (0.000, 0.000, 0.500).